# 1
Entry from Alexandria: a relaxed structure of Li3Zr2ReN6 (PBE-GGA).

```
data_Li3Zr2ReN6
_cell_length_a 5.4603
_cell_length_b 9.4862
_cell_length_c 5.4034
_cell_angle_alpha 90.00
_cell_angle_beta 109.00
_cell_angle_gamma 90.00
_symmetry_space_group_name_H-M 'C 1 2/m 1'
_symmetry_Int_Tables_number 12
_symmetry_space_group_name_Hall '-C 2y'
loop_
_atom_site_label
_atom_site_type_symbol
_atom_site_fract_x
_atom_site_fract_y
_atom_site_fract_z
Li1 Li 0.0000 0.0000 0.0000
Li2 Li 0.0000 0.3481 0.0000
Zr1 Zr 0.0000 0.1670 0.5000
Re1 Re 0.0000 0.5000 0.5000
N1 N 0.2263 0.3458 0.7207
N2 N 0.2395 0.5000 0.2778
```

Summary:
total DFT energy (no corrections) = -188.6 eV for the cell shown

# 2
Entry from Alexandria: a relaxed structure of NiTe5 (PBE-GGA).

```
data_NiTe5
_cell_length_a 5.0128
_cell_length_b 3.7386
_cell_length_c 19.3396
_cell_angle_alpha 90.00
_cell_angle_beta 90.00
_cell_angle_gamma 90.00
_symmetry_space_group_name_H-M 'A m m 2'
_symmetry_Int_Tables_number 38
_symmetry_space_group_name_Hall 'A 2 -2'
loop_
_atom_site_label
_atom_site_type_symbol
_atom_site_fract_x
_atom_site_fract_y
_atom_site_fract_z
Ni1 Ni 0.0000 0.0000 0.0000
Te1 Te 0.0000 0.0000 0.4065
Te2 Te 0.0000 0.0000 0.5937
Te3 Te 0.5000 0.0000 0.1959
Te4 Te 0.5000 0.0000 0.5004
Te5 Te 0.5000 0.0000 0.8049
```

Summary:
relative energy among the computed polymorphs = 137 meV per atom

# 3
Entry from Alexandria: a relaxed structure of ReTcBr2 (PBE-GGA).

```
data_ReTcBr2
_cell_length_a 3.1388
_cell_length_b 3.3332
_cell_length_c 18.0902
_cell_angle_alpha 90.00
_cell_angle_beta 90.00
_cell_angle_gamma 90.00
_symmetry_space_group_name_H-M 'I m m 2'
_symmetry_Int_Tables_number 44
_symmetry_space_group_name_Hall 'I 2 -2'
loop_
_atom_site_label
_atom_site_type_symbol
_atom_site_fract_x
_atom_site_fract_y
_atom_site_fract_z
Re1 Re 0.0000 0.0000 0.0000
Tc1 Tc 0.0000 0.5000 0.9108
Br1 Br 0.0000 0.0000 0.6006
Br2 Br 0.0000 0.5000 0.3132
```

Summary:
relative energy among the computed polymorphs = 272 meV per atom

# 4
Entry from Alexandria: a relaxed structure of Nd2Dy5Tm3 (PBE-GGA).

```
data_Nd2Dy5Tm3
_cell_length_a 9.3506
_cell_length_b 21.6402
_cell_length_c 6.7596
_cell_angle_alpha 90.00
_cell_angle_beta 90.00
_cell_angle_gamma 90.00
_symmetry_space_group_name_H-M 'I b a m'
_symmetry_Int_Tables_number 72
_symmetry_space_group_name_Hall '-I 2 2c'
loop_
_atom_site_label
_atom_site_type_symbol
_atom_site_fract_x
_atom_site_fract_y
_atom_site_fract_z
Nd1 Nd 0.1029 0.1243 0.0000
Dy1 Dy 0.0000 0.2507 0.2500
Dy2 Dy 0.0000 0.5000 0.2500
Dy3 Dy 0.0891 0.3751 0.5000
Tm1 Tm 0.0000 0.0000 0.2500
Tm2 Tm 0.2494 0.1235 0.5000
```

Summary:
relative energy among the computed polymorphs = 218 meV per atom

# 5
Entry from Alexandria: a relaxed structure of SrAlH6Ru (PBE-GGA).

```
data_SrAlH6Ru
_cell_length_a 4.5908
_cell_length_b 4.5908
_cell_length_c 4.7400
_cell_angle_alpha 90.00
_cell_angle_beta 90.00
_cell_angle_gamma 120.00
_symmetry_space_group_name_H-M 'P 3 1 2'
_symmetry_Int_Tables_number 149
_symmetry_space_group_name_Hall 'P 3 2'
loop_
_atom_site_label
_atom_site_type_symbol
_atom_site_fract_x
_atom_site_fract_y
_atom_site_fract_z
Sr1 Sr 0.0000 0.0000 0.0000
Al1 Al 0.3333 0.6667 0.5000
H1 H 0.5078 0.0198 0.7526
Ru1 Ru 0.6667 0.3333 0.5000
```

Summary:
total DFT energy (no corrections) = -37.7 eV for the cell shown

# 6
Entry from Alexandria: a relaxed structure of MnAgSe3 (PBE-GGA).

```
data_MnAgSe3
_cell_length_a 4.7315
_cell_length_b 4.7315
_cell_length_c 4.7315
_cell_angle_alpha 90.00
_cell_angle_beta 90.00
_cell_angle_gamma 90.00
_symmetry_space_group_name_H-M 'P m -3 m'
_symmetry_Int_Tables_number 221
_symmetry_space_group_name_Hall '-P 4 2 3'
loop_
_atom_site_label
_atom_site_type_symbol
_atom_site_fract_x
_atom_site_fract_y
_atom_site_fract_z
Mn1 Mn 0.0000 0.0000 0.0000
Ag1 Ag 0.5000 0.5000 0.5000
Se1 Se 0.0000 0.0000 0.5000
```

Summary:
relative energy among the computed polymorphs = 610 meV per atom

# 7
Entry from Alexandria: a relaxed structure of Nb2In2RhS6 (PBE-GGA).

```
data_Nb2In2RhS6
_cell_length_a 5.8263
_cell_length_b 10.6068
_cell_length_c 8.2254
_cell_angle_alpha 90.00
_cell_angle_beta 101.99
_cell_angle_gamma 90.00
_symmetry_space_group_name_H-M 'C 1 2/m 1'
_symmetry_Int_Tables_number 12
_symmetry_space_group_name_Hall '-C 2y'
loop_
_atom_site_label
_atom_site_type_symbol
_atom_site_fract_x
_atom_site_fract_y
_atom_site_fract_z
Nb1 Nb 0.0000 0.1379 0.0000
In1 In 0.0000 0.2241 0.5000
Rh1 Rh 0.0000 0.5000 0.0000
S1 S 0.1053 0.3302 0.8290
S2 S 0.1244 0.0000 0.7953
```

Summary:
total DFT energy (no corrections) = -129.8 eV for the cell shown

# 8
Entry from Alexandria: a relaxed structure of BaInAgCl6 (PBE-GGA).

```
data_BaInAgCl6
_cell_length_a 7.2501
_cell_length_b 7.2501
_cell_length_c 11.6114
_cell_angle_alpha 90.00
_cell_angle_beta 90.00
_cell_angle_gamma 120.00
_symmetry_space_group_name_H-M 'P -3 1 c'
_symmetry_Int_Tables_number 163
_symmetry_space_group_name_Hall '-P 3 2c'
loop_
_atom_site_label
_atom_site_type_symbol
_atom_site_fract_x
_atom_site_fract_y
_atom_site_fract_z
Ba1 Ba 0.3333 0.6667 0.2500
In1 In 0.3333 0.6667 0.7500
Ag1 Ag 0.0000 0.0000 0.0000
Cl1 Cl 0.0565 0.3661 0.6219
```

Summary:
total DFT energy (no corrections) = -62.0 eV for the cell shown

# 9
Entry from Alexandria: a relaxed structure of AcSmPtRh (PBE-GGA).

```
data_AcSmPtRh
_cell_length_a 7.2848
_cell_length_b 7.2848
_cell_length_c 7.2848
_cell_angle_alpha 90.00
_cell_angle_beta 90.00
_cell_angle_gamma 90.00
_symmetry_space_group_name_H-M 'F -4 3 m'
_symmetry_Int_Tables_number 216
_symmetry_space_group_name_Hall 'F -4 2 3'
loop_
_atom_site_label
_atom_site_type_symbol
_atom_site_fract_x
_atom_site_fract_y
_atom_site_fract_z
Ac1 Ac 0.0000 0.0000 0.0000
Sm1 Sm 0.0000 0.0000 0.5000
Pt1 Pt 0.2500 0.2500 0.2500
Rh1 Rh 0.2500 0.2500 0.7500
```

Summary:
relative energy among the computed polymorphs = 106 meV per atom

# 10
Entry from Alexandria: a relaxed structure of La5CdIn2Rh2 (PBE-GGA).

```
data_La5CdIn2Rh2
_cell_length_a 12.2184
_cell_length_b 12.2184
_cell_length_c 3.8987
_cell_angle_alpha 90.00
_cell_angle_beta 90.00
_cell_angle_gamma 90.00
_symmetry_space_group_name_H-M 'P 4/m b m'
_symmetry_Int_Tables_number 127
_symmetry_space_group_name_Hall '-P 4 2ab'
loop_
_atom_site_label
_atom_site_type_symbol
_atom_site_fract_x
_atom_site_fract_y
_atom_site_fract_z
La1 La 0.0000 0.5000 0.0000
La2 La 0.0679 0.2105 0.0000
Cd1 Cd 0.0000 0.0000 0.5000
In1 In 0.1827 0.6827 0.5000
Rh1 Rh 0.1334 0.3666 0.5000
```

Summary:
total DFT energy (no corrections) = -102.2 eV for the cell shown

# 11
Entry from Alexandria: a relaxed structure of Be2Nb2VOs5 (PBE-GGA).

```
data_Be2Nb2VOs5
_cell_length_a 9.3651
_cell_length_b 9.3651
_cell_length_c 3.1030
_cell_angle_alpha 90.00
_cell_angle_beta 90.00
_cell_angle_gamma 90.00
_symmetry_space_group_name_H-M 'P 4/m b m'
_symmetry_Int_Tables_number 127
_symmetry_space_group_name_Hall '-P 4 2ab'
loop_
_atom_site_label
_atom_site_type_symbol
_atom_site_fract_x
_atom_site_fract_y
_atom_site_fract_z
Be1 Be 0.1235 0.3765 0.0000
Nb1 Nb 0.1747 0.6747 0.0000
V1 V 0.0000 0.0000 0.0000
Os1 Os 0.0000 0.5000 0.5000
Os2 Os 0.0698 0.2070 0.5000
```

Summary:
total DFT energy (no corrections) = -192.2 eV for the cell shown

# 12
Entry from Alexandria: a relaxed structure of CaTeF3 (PBE-GGA).

```
data_CaTeF3
_cell_length_a 4.5492
_cell_length_b 4.5492
_cell_length_c 4.5492
_cell_angle_alpha 90.00
_cell_angle_beta 90.00
_cell_angle_gamma 90.00
_symmetry_space_group_name_H-M 'P m -3 m'
_symmetry_Int_Tables_number 221
_symmetry_space_group_name_Hall '-P 4 2 3'
loop_
_atom_site_label
_atom_site_type_symbol
_atom_site_fract_x
_atom_site_fract_y
_atom_site_fract_z
Ca1 Ca 0.0000 0.0000 0.0000
Te1 Te 0.5000 0.5000 0.5000
F1 F 0.0000 0.0000 0.5000
```

Summary:
relative energy among the computed polymorphs = 0 meV per atom

Number 1: magnetization 0.00 μB per atom, mass density 5.94 Mg/m³. Number 2: magnetization 0.00 μB per atom, mass density 6.38 Mg/m³. Number 3: magnetization 0.00 μB per atom, mass density 7.79 Mg/m³. Number 4: magnetization 0.00 μB per atom, mass density 7.81 Mg/m³. Number 5: magnetization 0.00 μB per atom, mass density 4.26 Mg/m³. Number 6: magnetization 0.00 μB per atom, mass density 6.27 Mg/m³. Number 7: magnetization 0.00 μB per atom, mass density 4.75 Mg/m³. Number 8: magnetization 0.00 μB per atom, mass density 3.60 Mg/m³. Number 9: magnetization 0.00 μB per atom, mass density 11.60 Mg/m³. Number 10: magnetization 0.00 μB per atom, mass density 7.09 Mg/m³. Number 11: magnetization 0.00 μB per atom, mass density 14.72 Mg/m³. Number 12: magnetization 0.60 μB per atom, mass density 3.96 Mg/m³.